[1]
First-principles (PBE) data for a geometry-optimized RbPtBr structure, as listed in the Alexandria database.

a = 9.956 Å, b = 4.636 Å, c = 9.555 Å
α = 90.00°, β = 90.00°, γ = 90.00°
Positions (direct):
Br 0.026 0.250 0.701
Br 0.474 0.750 0.201
Br 0.974 0.750 0.299
Br 0.526 0.250 0.799
Rb 0.727 0.250 0.496
Rb 0.773 0.750 0.996
Rb 0.273 0.750 0.504
Rb 0.227 0.250 0.004
Pt 0.462 0.250 0.270
Pt 0.038 0.750 0.770
Pt 0.538 0.750 0.730
Pt 0.962 0.250 0.230

Values from the calculation:
DOS at the Fermi energy, states/eV per cell: 0.0
Energy relative to the lowest polymorph listed for this composition, eV/atom: 0.291
E_form (uncorrected), meV per atom: -371
Crystal system: orthorhombic



[2]
First-principles (PBE) data for a geometry-optimized BeSi2W structure, as listed in the Alexandria database.

a = 3.220 Å, b = 3.197 Å, c = 5.951 Å
α = 57.51°, β = 90.00°, γ = 90.00°
Positions (direct):
Be 0.500 0.750 0.750
Si 0.000 0.012 0.988
Si 0.000 0.488 0.512
W 0.500 0.250 0.250

Values from the calculation:
DOS at the Fermi energy, states/eV per cell: 1.8
E_form (uncorrected), meV per atom: -9
Crystal system: orthorhombic



[3]
First-principles (PBE) data for a geometry-optimized YVPt3 structure, as listed in the Alexandria database.

a = 4.694 Å, b = 4.694 Å, c = 4.694 Å
α = 90.00°, β = 90.00°, γ = 90.00°
Positions (direct):
Y 0.500 0.500 0.500
Pt 0.000 0.500 0.000
Pt 0.000 0.000 0.500
Pt 0.500 0.000 0.000
V 0.000 0.000 0.000

Values from the calculation:
DOS at the Fermi energy, states/eV per cell: 4.9
Energy relative to the lowest polymorph listed for this composition, eV/atom: 0.000
Crystal system: cubic



[4]
First-principles (PBE) data for a geometry-optimized PmGaNi2 structure, as listed in the Alexandria database.

a = 3.324 Å, b = 4.479 Å, c = 4.479 Å
α = 90.00°, β = 90.00°, γ = 90.00°
Positions (direct):
Ni 0.000 0.000 0.500
Ni 0.000 0.500 0.000
Ga 0.500 0.500 0.500
Pm 0.500 0.000 0.000

Values from the calculation:
Calculated total energy, eV per atom: -5.02
DOS at the Fermi energy, states/eV per cell: 2.7
Crystal system: tetragonal